First-principles (PBE) data for Li3SnRh after structural relaxation, as listed in Alexandria via LeMat-Bulk.

Calculated values
* calculated formation energy: 183 meV/atom
* total moment: 0.000 μB per formula unit
* calculated volume: 19.10 A^3/atom
* electronic total energy: -3.2363 eV per atom
* D(E_F): 2.0 states/eV/f.u.
* excess energy over the best structure of this formula in the dataset: 424 meV/atom

Unit cell a=4.5710 b=4.5710 c=4.5710 alpha=90.00 beta=90.00 gamma=90.00
Closest atoms and distances in Å follow each position.
Sites, in units of the cell vectors:
Rh 0.0000 0.0000 0.0000  6 Li 2.29
Sn 0.5000 0.5000 0.5000  12 Li 3.23
Li 0.0000 0.5000 0.0000  2 Rh 2.29
Li 0.0000 0.0000 0.5000  2 Rh 2.29
Li 0.5000 0.0000 0.0000  2 Rh 2.29